Entry 1:
Material: Zn2IrPb
Method: DFT, PBE
State: optimized geometry

ΔE_f (meV/atom): 59
E_tot (Ry per atom): -0.273
Symmetry: No. 123

Geometry as extended XYZ:
```
4
Lattice="-1.3773 0.0455 -2.8829 0.9496 -3.0092 -0.5031 -6.2348 -2.4590 2.9399" Properties=species:S:1:pos:R:3 pbc="T T T"
Pb -4.8899 -3.3261 0.5119
Zn -0.4057 -0.1600 0.1913
Zn -2.7117 -1.0695 1.2786
Ir -1.7725 -2.0966 -0.9580
```

Entry 2:
Material: ZrAg6Cl12
Method: DFT, PBE
State: optimized geometry

Formation energy (no corrections) (meV per atom): -764
E_tot (Ry per atom): -0.241
Symmetry: No. 148

Geometry as extended XYZ:
```
19
Lattice="-1.0950 7.4021 -2.8314 -7.4153 -0.2297 2.9945 2.9707 2.7940 6.8829" Properties=species:S:1:pos:R:3 pbc="T T T"
Cl 1.2811 7.7788 4.1955
Cl -2.8965 4.5257 0.7917
Ag -0.9913 7.2269 5.3614
Cl -6.8206 2.1875 2.8506
Ag -0.5406 5.4538 0.9960
Cl -1.1141 7.6204 -0.3475
Zr 0.0000 0.0000 0.0000
Cl -2.3510 7.7120 3.2711
Cl -6.1048 6.5156 0.1755
Cl -4.4254 2.3459 7.3936
Ag -4.6743 7.4476 2.1536
Cl -5.4521 5.6414 3.7618
Ag -4.5482 2.7394 1.6847
Cl -0.0874 4.3249 3.2843
Ag -0.8652 2.5187 4.8925
Ag -4.9989 4.5125 6.0501
Cl -3.1885 2.2543 3.7750
Cl -2.6430 5.4406 6.2544
Cl 0.5653 3.4507 6.8706
```